A geometry-optimized TaSiMo structure, computed with PBE-GGA.

abc: 6.1272 6.1272 6.1272
angles: 90.00 90.00 90.00
Space group F-43m (No. 216)
Unique sites:
Ta: 0.0000 0.0000 0.0000
Si: 0.2500 0.2500 0.7500
Mo: 0.2500 0.2500 0.2500

Results
Its uncorrected formation energy is 63.9 kJ per mole of atoms. The volume is 230.0 Å³/cell. For the total moment, the calculation gives 0.0000 μB/atom. The value obtained for the energy is -104.5 eV/cell.

A geometry-optimized TaSiMo structure, computed with PBE-GGA.

abc: 3.4315 5.2764 10.5128
angles: 90.00 90.00 90.00
Space group Immm (No. 71)
Unique sites:
Ta: 0.0000 0.0000 0.2021
Si: 0.0000 0.5000 0.1207
Mo: 0.0000 0.2637 0.5000

Results
Its uncorrected formation energy is -30.2 kJ per mole of atoms. The volume is 190.3 Å³/cell. For the total moment, the calculation gives 0.0000 μB/atom. The value obtained for the energy is -116.2 eV/cell.

A geometry-optimized TaSiMo structure, computed with PBE-GGA.

abc: 3.2601 4.1583 6.9813
angles: 90.00 90.00 90.00
Space group Pmm2 (No. 25)
Unique sites:
Ta: 0.0000 0.0000 0.0000
Ta: 0.5000 0.0000 0.3430
Si: 0.0000 0.0000 0.6363
Si: 0.5000 0.5000 0.0752
Mo: 0.0000 0.5000 0.3686
Mo: 0.5000 0.5000 0.7079

Results
Its uncorrected formation energy is -32.7 kJ per mole of atoms. The volume is 94.6 Å³/cell. For the total moment, the calculation gives 0.0000 μB/atom. The value obtained for the energy is -58.2 eV/cell.